1.
ZrFe2Co, relaxed, DFT PBE-GGA; spin magnetization = 5.77 μB per formula unit; space group = P2/m (10); N(E_F) = 0.8847 states/eV/atom; crystal system = monoclinic
1.0
2.783 0.000 0.000
0.000 3.986 0.000
-1.345 0.000 5.089
Zr Fe Co
1 2 1
direct
0.000 0.000 0.000
0.269 0.500 0.715
0.731 0.500 0.285
0.500 0.000 0.500

2.
ZrFe2Co, relaxed, DFT PBE-GGA; spin magnetization = 5.17 μB per formula unit; space group = F-43m (216); N(E_F) = 0.5151 states/eV/atom; crystal system = cubic
1.0
0.000 3.021 3.021
3.021 0.000 3.021
3.021 3.021 0.000
Zr Fe Co
1 2 1
direct
0.000 0.000 0.000
0.500 0.500 0.500
0.750 0.750 0.750
0.250 0.250 0.250

3.
ZrFe2Co2, relaxed, DFT PBE-GGA; spin magnetization = 6.23 μB per formula unit; space group = I4/mmm (139); N(E_F) = 0.7041 states/eV/atom; energy above the most stable polymorph in this dataset = 38.0 meV/atom; crystal system = tetragonal
1.0
-1.883 1.883 4.915
1.883 -1.883 4.915
1.883 1.883 -4.915
Zr Fe Co
1 2 2
direct
0.000 0.000 0.000
0.384 0.384 0.000
0.616 0.616 0.000
0.250 0.750 0.500
0.750 0.250 0.500

4.
ZrFe2Co, relaxed, DFT PBE-GGA; spin magnetization = 5.46 μB per formula unit; space group = Imm2 (44); N(E_F) = 0.5405 states/eV/atom; crystal system = orthorhombic
1.0
-1.586 2.079 4.225
1.586 -2.079 4.225
1.586 2.079 -4.225
Zr Fe Co
1 2 1
direct
0.000 0.000 0.000
0.499 0.499 0.000
0.738 0.238 0.500
0.259 0.759 0.500

5.
ZrFe3Co, relaxed, DFT PBE-GGA; spin magnetization = 7.49 μB per formula unit; space group = Pm-3m (221); N(E_F) = 1.6474 states/eV/atom; energy above the most stable polymorph in this dataset = 1211.9 meV/atom; crystal system = cubic
1.0
4.506 0.000 0.000
0.000 4.506 0.000
0.000 0.000 4.506
Zr Fe Co
1 3 1
direct
0.000 0.000 0.000
0.000 0.000 0.500
0.000 0.500 0.000
0.500 0.000 0.000
0.500 0.500 0.500

6.
Zr2FeCo3, relaxed, DFT PBE-GGA; spin magnetization = 4.31 μB per formula unit; space group = Immm (71); N(E_F) = 0.8078 states/eV/atom; energy above the most stable polymorph in this dataset = 415.3 meV/atom; crystal system = orthorhombic
1.0
-2.096 2.420 4.550
2.096 -2.420 4.550
2.096 2.420 -4.550
Zr Fe Co
2 1 3
direct
0.187 0.187 0.000
0.813 0.813 0.000
0.500 0.500 0.000
0.000 0.500 0.500
0.372 0.872 0.500
0.628 0.128 0.500

7.
Zr2FeCo2, relaxed, DFT PBE-GGA; spin magnetization = 2.43 μB per formula unit; space group = P4/mbm (127); N(E_F) = 1.4235 states/eV/atom; crystal system = tetragonal
1.0
6.356 0.000 0.000
0.000 6.356 0.000
0.000 0.000 3.854
Zr Fe Co
4 2 4
direct
0.178 0.322 0.000
0.322 0.822 0.000
0.678 0.178 0.000
0.822 0.678 0.000
0.000 0.000 0.500
0.500 0.500 0.500
0.131 0.631 0.500
0.369 0.131 0.500
0.631 0.869 0.500
0.869 0.369 0.500

8.
ZrFeCo10, relaxed, DFT PBE-GGA; spin magnetization = 18.18 μB per formula unit; space group = Pmmm (47); N(E_F) = 1.1324 states/eV/atom; crystal system = orthorhombic
1.0
4.010 0.000 0.000
0.000 4.666 0.000
0.000 0.000 8.117
Zr Fe Co
1 1 10
direct
0.000 0.000 0.000
0.000 0.500 0.500
0.000 0.000 0.346
0.000 0.000 0.654
0.000 0.500 0.184
0.000 0.500 0.816
0.500 0.000 0.500
0.500 0.249 0.251
0.500 0.249 0.749
0.500 0.500 0.000
0.500 0.751 0.251
0.500 0.751 0.749

9.
ZrFeCo2, relaxed, DFT PBE-GGA; spin magnetization = 4.63 μB per formula unit; space group = P4mm (99); N(E_F) = 1.2324 states/eV/atom; crystal system = tetragonal
1.0
3.046 0.000 0.000
0.000 3.046 0.000
0.000 0.000 5.979
Zr Fe Co
1 1 2
direct
0.000 0.000 0.000
0.500 0.500 0.703
0.000 0.000 0.499
0.500 0.500 0.273

10.
ZrFe2Co, relaxed, DFT PBE-GGA; spin magnetization = 4.67 μB per formula unit; space group = Pmmm (47); N(E_F) = 0.7431 states/eV/atom; crystal system = orthorhombic
1.0
3.254 0.000 0.000
0.000 4.088 0.000
0.000 0.000 4.127
Zr Fe Co
1 2 1
direct
0.000 0.000 0.000
0.000 0.500 0.500
0.500 0.000 0.500
0.500 0.500 0.000

11.
Zr2Fe2Co, relaxed, DFT PBE-GGA; spin magnetization = 2.62 μB per formula unit; space group = P4/mbm (127); N(E_F) = 1.3504 states/eV/atom; crystal system = tetragonal
1.0
6.240 0.000 0.000
0.000 6.240 0.000
0.000 0.000 3.994
Zr Fe Co
4 4 2
direct
0.182 0.318 0.000
0.318 0.818 0.000
0.682 0.182 0.000
0.818 0.682 0.000
0.125 0.625 0.500
0.375 0.125 0.500
0.625 0.875 0.500
0.875 0.375 0.500
0.000 0.000 0.500
0.500 0.500 0.500

12.
ZrFe2Co, relaxed, DFT PBE-GGA; spin magnetization = 5.33 μB per formula unit; space group = C2/m (12); N(E_F) = 0.7180 states/eV/atom; crystal system = monoclinic
1.0
2.572 -4.206 0.000
2.572 4.206 0.000
-1.033 0.000 2.584
Zr Fe Co
1 2 1
direct
0.000 0.000 0.000
0.000 0.500 0.500
0.500 0.000 0.500
0.500 0.500 0.000

Number 1: final energy -32.294 eV for the cell shown, formation enthalpy at 0 K 0.071 eV per atom. Number 2: final energy -32.892 eV for the cell shown, formation enthalpy at 0 K -0.078 eV per atom. Number 3: final energy -39.700 eV for the cell shown, formation enthalpy at 0 K -0.003 eV per atom. Number 4: final energy -32.705 eV for the cell shown, formation enthalpy at 0 K -0.032 eV per atom. Number 5: final energy -31.940 eV for the cell shown, formation enthalpy at 0 K 1.820 eV per atom. Number 6: final energy -46.224 eV for the cell shown, formation enthalpy at 0 K 0.109 eV per atom. Number 7: final energy -81.118 eV for the cell shown, formation enthalpy at 0 K -0.158 eV per atom. Number 8: final energy -87.049 eV for the cell shown, formation enthalpy at 0 K 0.085 eV per atom. Number 9: final energy -31.162 eV for the cell shown, formation enthalpy at 0 K 0.015 eV per atom. Number 10: final energy -32.805 eV for the cell shown, formation enthalpy at 0 K -0.056 eV per atom. Number 11: final energy -82.910 eV for the cell shown, formation enthalpy at 0 K -0.065 eV per atom. Number 12: final energy -32.146 eV for the cell shown, formation enthalpy at 0 K 0.108 eV per atom.